Run a
## BaTaS4 (PBE-GGA)

Data for BaTaS4 after structural relaxation.

Computed properties:
Magnetization, μB/f.u.: 0.0
Space group: No. 15

CIF file:
```
data_BaTaS4
_chemical_formula_sum 'Ba2 Ta2 S8'
_space_group_name_H-M_alt 'P 1'
_space_group_IT_number 1
_cell_length_a 7.621
_cell_length_b 7.621
_cell_length_c 6.176
_cell_angle_alpha 95.27
_cell_angle_beta 95.27
_cell_angle_gamma 118.58
loop_
_space_group_symop_operation_xyz
'x,y,z'
loop_
_atom_site_label
_atom_site_type_symbol
_atom_site_fract_x
_atom_site_fract_y
_atom_site_fract_z
_atom_site_occupancy
Ba1 Ba 0.148 0.852 0.750 1
Ba2 Ba 0.852 0.148 0.250 1
Ta1 Ta 0.500 0.500 0.250 1
Ta2 Ta 0.500 0.500 0.750 1
S1 S 0.193 0.309 0.941 1
S2 S 0.262 0.549 0.478 1
S3 S 0.309 0.193 0.441 1
S4 S 0.451 0.738 0.022 1
S5 S 0.549 0.262 0.978 1
S6 S 0.691 0.807 0.559 1
S7 S 0.738 0.451 0.522 1
S8 S 0.807 0.691 0.059 1
```

***

Run b
## BaTaS4 (PBE-GGA)

Data for BaTaS4 after structural relaxation.

Computed properties:
Magnetization, μB/f.u.: 0.0
Space group: No. 12

CIF file:
```
data_BaTaS4
_chemical_formula_sum 'Ba2 Ta2 S8'
_space_group_name_H-M_alt 'P 1'
_space_group_IT_number 1
_cell_length_a 7.594
_cell_length_b 7.594
_cell_length_c 6.657
_cell_angle_alpha 92.43
_cell_angle_beta 92.43
_cell_angle_gamma 52.32
loop_
_space_group_symop_operation_xyz
'x,y,z'
loop_
_atom_site_label
_atom_site_type_symbol
_atom_site_fract_x
_atom_site_fract_y
_atom_site_fract_z
_atom_site_occupancy
Ba1 Ba 0.192 0.192 0.211 1
Ba2 Ba 0.808 0.808 0.789 1
Ta1 Ta 0.477 0.477 0.735 1
Ta2 Ta 0.523 0.523 0.265 1
S1 S 0.187 0.638 0.436 1
S2 S 0.246 0.754 0.000 1
S3 S 0.298 0.298 0.790 1
S4 S 0.362 0.813 0.564 1
S5 S 0.638 0.187 0.436 1
S6 S 0.702 0.702 0.210 1
S7 S 0.754 0.246 0.000 1
S8 S 0.813 0.362 0.564 1
```

***

Relative calculated energies, zero for the most stable structure, unit kJ/mol of atoms: run a 0.0; run b 3.6.